[1]
Computed, not measured: a geometry-optimized Np2U3PaAs6 structure at the PBE level of DFT.

abc: 7.0434 7.0434 7.1919
angles: 99.39 99.39 119.94
With the nearest neighbours (Å) after each atom.
Positions (direct):
U1 0.5000 0.5000 0.5000  6 As 2.90
As1 0.7513 0.7513 0.2512  3 U 2.90, 1 Pa 2.90, 2 Np 2.90
Pa1 0.0000 0.0000 0.0000  6 As 2.90
As2 0.0834 0.4160 0.2504  3 U 2.90, 1 Pa 2.90, 2 Np 2.90
U2 0.1672 0.8328 0.5000  6 As 2.90
As3 0.2487 0.2487 0.7488  3 U 2.90, 1 Pa 2.90, 2 Np 2.90
Np1 0.3336 0.6664 0.0000  6 As 2.90
U3 0.8328 0.1672 0.5000  6 As 2.90
As4 0.9166 0.5840 0.7496  3 U 2.90, 1 Pa 2.90, 2 Np 2.90
As5 0.5840 0.9166 0.7496  3 U 2.90, 1 Pa 2.90, 2 Np 2.90
As6 0.4160 0.0834 0.2504  3 U 2.90, 1 Pa 2.90, 2 Np 2.90
Np2 0.6664 0.3336 0.0000  6 As 2.90

Properties
Space-group type ... C2/m (12)
DFT formation energy ... -765 meV per atom


[2]
Computed, not measured: a geometry-optimized Li6AgRh structure at the PBE level of DFT.

abc: 4.4635 5.3919 5.3919
angles: 111.03 90.00 90.00
With the nearest neighbours (Å) after each atom.
Positions (direct):
Li1 0.5000 0.3630 0.1064  3 Li 2.51-2.76, 2 Ag 2.62-2.77, 2 Rh 2.65
Li2 0.0000 0.6060 0.3940  8 Li 2.60-2.79
Li3 0.5000 0.8966 0.1034  6 Li 2.51-2.71
Li4 0.0000 0.1178 0.3780  4 Li 2.60-2.79, 2 Rh 2.66-2.73, 2 Ag 2.71
Rh1 0.0000 0.1257 0.8743  8 Li 2.65-2.73
Ag1 0.5000 0.3750 0.6250  8 Li 2.62-2.77
Li5 0.5000 0.8936 0.6370  3 Li 2.51-2.76, 2 Ag 2.62-2.77, 2 Rh 2.65
Li6 0.0000 0.6220 0.8822  4 Li 2.60-2.79, 2 Rh 2.66-2.73, 2 Ag 2.71

Properties
Relative energy among the computed polymorphs ... 0 meV/atom
Space-group type ... Amm2 (38)
DFT formation energy ... -100 meV per atom


[3]
Computed, not measured: a geometry-optimized ScOsBr structure at the PBE level of DFT.

abc: 3.2289 3.2289 6.9131
angles: 90.00 90.00 120.00
With the nearest neighbours (Å) after each atom.
Positions (direct):
Sc1 0.6667 0.3333 0.6615  3 Os 2.64, 3 Br 2.72
Os1 0.3333 0.6667 0.3905  3 Sc 2.64
Br1 0.0000 0.0000 0.9480  3 Sc 2.72

Properties
Relative energy among the computed polymorphs ... 0 meV/atom
Space-group type ... P3m1 (156)


[4]
Computed, not measured: a geometry-optimized TlCu2I structure at the PBE level of DFT.

abc: 5.0147 5.0147 5.0147
angles: 60.00 60.00 60.00
With the nearest neighbours (Å) after each atom.
Positions (direct):
Cu1 0.7500 0.7500 0.7500  4 Tl 3.07, 4 I 3.07
I1 0.0000 0.0000 0.0000  8 Cu 3.07
Cu2 0.2500 0.2500 0.2500  4 Tl 3.07, 4 I 3.07
Tl1 0.5000 0.5000 0.5000  8 Cu 3.07

Properties
Relative energy among the computed polymorphs ... 182 meV/atom
Space-group type ... Fm-3m (225)


[5]
Computed, not measured: a geometry-optimized DyHo2Er2Mg2 structure at the PBE level of DFT.

abc: 5.4006 5.4006 8.5303
angles: 71.55 71.55 60.00
With the nearest neighbours (Å) after each atom.
Positions (direct):
Er1 0.8452 0.8452 0.4644  3 Er 3.17, 1 Mg 3.20, 3 Ho 3.44
Ho1 0.4273 0.4273 0.7182  4 Mg 3.29-3.34, 3 Er 3.44, 1 Ho 3.47
Mg1 0.2893 0.2893 0.1322  1 Er 3.20, 4 Ho 3.29-3.34, 3 Dy 3.29
Er2 0.1548 0.1548 0.5356  3 Er 3.17, 1 Mg 3.20, 3 Ho 3.44
Ho2 0.5727 0.5727 0.2818  4 Mg 3.29-3.34, 3 Er 3.44, 1 Ho 3.47
Mg2 0.7107 0.7107 0.8678  1 Er 3.20, 4 Ho 3.29-3.34, 3 Dy 3.29
Dy1 0.0000 0.0000 0.0000  6 Mg 3.29

Properties
Space-group type ... R-3m (166)
DFT formation energy ... -21 meV per atom


[6]
Computed, not measured: a geometry-optimized K2YMo structure at the PBE level of DFT.

abc: 3.1391 3.1391 13.3336
angles: 90.00 90.00 114.16
With the nearest neighbours (Å) after each atom.
Positions (direct):
Mo1 0.5000 0.5000 0.2500  6 Mo 3.14-3.41, 4 K 3.45
K1 0.0000 0.0000 0.0251  6 K 3.14-3.41, 2 Mo 3.45
K2 0.0000 0.0000 0.4749  6 K 3.14-3.41, 2 Mo 3.45
Y1 0.5000 0.5000 0.7500  6 Y 3.14-3.41

Properties
Relative energy among the computed polymorphs ... 484 meV/atom
Space-group type ... Cmmm (65)
DFT formation energy ... 1265 meV per atom


[7]
Computed, not measured: a geometry-optimized MnZnRu2N structure at the PBE level of DFT.

abc: 4.0409 4.0409 3.8299
angles: 90.00 90.00 90.00
With the nearest neighbours (Å) after each atom.
Positions (direct):
Mn1 0.0000 0.0000 0.5000  2 N 1.91
Ru1 0.5000 0.0000 0.0000  2 N 2.02
N1 0.0000 0.0000 0.0000  2 Mn 1.91, 4 Ru 2.02
Zn1 0.5000 0.5000 0.5000  8 Ru 2.78, 4 Mn 2.86
Ru2 0.0000 0.5000 0.0000  2 N 2.02

Properties
Space-group type ... P4/mmm (123)
Raw total energy ... -7.4951 eV per atom


[8]
Computed, not measured: a geometry-optimized SrLiAl2Rh structure at the PBE level of DFT.

abc: 4.7439 4.9719 4.7439
angles: 90.00 90.00 90.00
With the nearest neighbours (Å) after each atom.
Positions (direct):
Al1 0.0000 0.0000 0.5000  2 Rh 2.37
Li1 0.0000 0.5000 0.0000  2 Rh 2.49
Sr1 0.5000 0.5000 0.5000  4 Li 3.35, 8 Al 3.44
Rh1 0.0000 0.0000 0.0000  4 Al 2.37, 2 Li 2.49
Al2 0.5000 0.0000 0.0000  2 Rh 2.37

Properties
Space-group type ... P4/mmm (123)
DFT formation energy ... -404 meV per atom


[9]
Computed, not measured: a geometry-optimized ScMn4Be structure at the PBE level of DFT.

abc: 4.7261 4.7261 4.7261
angles: 60.00 60.00 60.00
With the nearest neighbours (Å) after each atom.
Positions (direct):
Sc1 0.7500 0.7500 0.7500  12 Mn 2.77, 4 Be 2.89
Mn1 0.3738 0.3738 0.3738  6 Mn 2.34-2.39
Mn2 0.3738 0.3738 0.8785  6 Mn 2.34-2.39
Be1 0.0000 0.0000 0.0000  12 Mn 2.77, 4 Sc 2.89
Mn3 0.8785 0.3738 0.3738  6 Mn 2.34-2.39
Mn4 0.3738 0.8785 0.3738  6 Mn 2.34-2.39

Properties
Space-group type ... F-43m (216)
DFT formation energy ... 98 meV per atom


Please write out number 7 again, unchanged.
Computed, not measured: a geometry-optimized MnZnRu2N structure at the PBE level of DFT.

abc: 4.0409 4.0409 3.8299
angles: 90.00 90.00 90.00
With the nearest neighbours (Å) after each atom.
Positions (direct):
Mn1 0.0000 0.0000 0.5000  2 N 1.91
Ru1 0.5000 0.0000 0.0000  2 N 2.02
N1 0.0000 0.0000 0.0000  2 Mn 1.91, 4 Ru 2.02
Zn1 0.5000 0.5000 0.5000  8 Ru 2.78, 4 Mn 2.86
Ru2 0.0000 0.5000 0.0000  2 N 2.02

Properties
Space-group type ... P4/mmm (123)
Raw total energy ... -7.4951 eV per atom